No. 1
Sm2CdP3Rh12 | PBE | optimized geometry

abc: 6.727 6.727 6.727
angles: 83.68 83.68 83.68
Fractional coordinates of all 18 atoms:
Sm 0.127 0.127 0.127
Sm 0.873 0.873 0.873
Cd 0.500 0.500 0.500
P 0.000 0.500 0.500
P 0.500 0.000 0.500
P 0.500 0.500 0.000
Rh 0.132 0.132 0.593
Rh 0.132 0.593 0.132
Rh 0.166 0.675 0.675
Rh 0.325 0.325 0.834
Rh 0.325 0.834 0.325
Rh 0.407 0.868 0.868
Rh 0.593 0.132 0.132
Rh 0.675 0.166 0.675
Rh 0.675 0.675 0.166
Rh 0.834 0.325 0.325
Rh 0.868 0.407 0.868
Rh 0.868 0.868 0.407

=====

No. 2
Sm3CdP2Rh9 | PBE | optimized geometry

abc: 6.042 6.042 9.609
angles: 90.00 90.00 120.00
Fractional coordinates of all 15 atoms:
Sm 0.000 0.000 0.000
Sm 0.333 0.667 0.720
Sm 0.667 0.333 0.280
Cd 0.000 0.000 0.500
P 0.333 0.667 0.156
P 0.667 0.333 0.844
Rh 0.000 0.500 0.000
Rh 0.149 0.297 0.261
Rh 0.149 0.851 0.261
Rh 0.297 0.149 0.739
Rh 0.500 0.000 0.000
Rh 0.500 0.500 0.000
Rh 0.703 0.851 0.261
Rh 0.851 0.149 0.739
Rh 0.851 0.703 0.739

=====

No. 3
TbCdP2Rh5 | PBE | optimized geometry

abc: 4.007 4.007 10.432
angles: 90.00 90.00 90.00
Fractional coordinates of all 9 atoms:
Tb 0.000 0.000 0.000
Cd 0.000 0.000 0.500
P 0.500 0.500 0.216
P 0.500 0.500 0.784
Rh 0.000 0.500 0.315
Rh 0.000 0.500 0.685
Rh 0.500 0.000 0.315
Rh 0.500 0.000 0.685
Rh 0.500 0.500 0.000

=====

No. 4
Tb2Cd2PRh4 | PBE | optimized geometry

abc: 6.264 6.264 6.264
angles: 120.55 120.55 89.05
Fractional coordinates of all 9 atoms:
Tb 0.202 0.202 0.000
Tb 0.798 0.798 0.000
Cd 0.250 0.750 0.500
Cd 0.750 0.250 0.500
P 0.500 0.500 0.000
Rh 0.243 0.243 0.486
Rh 0.243 0.757 0.000
Rh 0.757 0.243 0.000
Rh 0.757 0.757 0.514

=====

Calculated formation energy per entry: -0.221; -0.543; -0.502; -0.460 eV/atom
Magnetic moment per entry: 0.00; 0.00; 0.00; 0.00 Bohr magnetons per cell
Uncorrected energy per entry: -118.8; -100.2; -57.6; -50.0 eV for the cell shown